Record 1
A plane-wave DFT calculation with PBE was carried out for HfCoTcMo after structural relaxation.

Unit cell a=6.285 b=6.285 c=6.285 alpha=90.00 beta=90.00 gamma=90.00
Space group F-43m (No. 216)
Symmetry-distinct sites (fractional):
Hf1 0.000 0.000 0.000 (multiplicity 4)
Co1 0.250 0.250 0.750 (multiplicity 4)
Tc1 0.250 0.250 0.250 (multiplicity 4)
Mo1 0.000 0.000 0.500 (multiplicity 4)

Calculated values
DFT formation energy in eV per atom: -0.1500

Record 2
A plane-wave DFT calculation with PBE was carried out for Hf4Co2N after structural relaxation.

Unit cell a=13.079 b=3.214 c=5.745 alpha=90.00 beta=111.96 gamma=90.00
Space group C2/m (No. 12)
Symmetry-distinct sites (fractional):
Hf1 0.088 0.000 0.410 (multiplicity 4)
Hf2 0.128 0.500 0.974 (multiplicity 4)
Co1 0.237 0.500 0.671 (multiplicity 4)
N1 0.000 0.000 0.000 (multiplicity 2)

Calculated values
E_form (uncorrected) in eV per atom: -0.504